Entry 1:
The following is a DFT calculation (PBE-GGA) of crystalline Zr11Zn9Ni4 at its relaxed geometry.

Calculated values
Volume = 17.8 Å³/atom
ΔH_f (0 K) = -32.97 kJ/mol of atoms
Symmetry = Cmmm (65)
Final energy = -136.82 eV/cell

a b c (Å): 3.300 11.871 11.871
angles (deg): 113.11 90.00 90.00
Positions (direct):
Zn 0.500 0.928 0.786
Zr 0.000 0.163 0.837
Zr 0.000 0.067 0.410
Zn 0.500 0.786 0.928
Zr 0.000 0.699 0.699
Zr 0.000 0.837 0.163
Ni 0.500 0.752 0.552
Zr 0.000 0.000 0.000
Zr 0.000 0.933 0.590
Zr 0.000 0.632 0.368
Zn 0.500 0.160 0.632
Zr 0.000 0.368 0.632
Zr 0.000 0.410 0.067
Zn 0.500 0.840 0.368
Ni 0.500 0.248 0.448
Zn 0.500 0.072 0.214
Zn 0.500 0.368 0.840
Zn 0.500 0.632 0.160
Ni 0.500 0.448 0.248
Zr 0.000 0.590 0.933
Ni 0.500 0.552 0.752
Zn 0.500 0.500 0.500
Zn 0.500 0.214 0.072
Zr 0.000 0.301 0.301


Entry 2:
The following is a DFT calculation (PBE-GGA) of crystalline LaPr3Hg6 at its relaxed geometry.

Calculated values
Volume = 28.2 Å³/atom
ΔH_f (0 K) = -43.21 kJ/mol of atoms
Symmetry = P2_1/m (11)
Final energy = -51.11 eV/cell

a b c (Å): 5.317 9.627 11.521
angles (deg): 107.10 90.00 90.00
Positions (direct):
Hg 0.250 0.653 0.707
Pr 0.750 0.646 0.202
Hg 0.750 0.347 0.293
Pr 0.750 0.225 0.006
Pr 0.750 0.494 0.615
Pr 0.250 0.775 0.994
Pr 0.250 0.354 0.798
Pr 0.250 0.506 0.385
Hg 0.250 0.061 0.904
La 0.750 0.065 0.383
Hg 0.250 0.834 0.312
Hg 0.250 0.244 0.511
Hg 0.250 0.461 0.090
Hg 0.750 0.756 0.489
La 0.250 0.935 0.617
Hg 0.250 0.139 0.203
Hg 0.750 0.166 0.688
Hg 0.750 0.939 0.096
Hg 0.750 0.861 0.797
Hg 0.750 0.539 0.910


Entry 3:
The following is a DFT calculation (PBE-GGA) of crystalline NpUGaRu at its relaxed geometry.

Calculated values
Volume = 18.5 Å³/atom
ΔH_f (0 K) = -11.83 kJ/mol of atoms
Symmetry = F-43m (216)
Final energy = -37.02 eV/cell

a b c (Å): 4.712 4.712 4.712
angles (deg): 60.00 60.00 60.00
Each line ends with the local moment (μB).
Positions (direct):
U 0.500 0.500 0.500  2.18
Ru 0.750 0.750 0.750  -0.23
Np 0.250 0.250 0.250  3.86
Ga 0.000 0.000 0.000  0.01